[1]
# Na2Tl3Pb3 (PBE, optimized geometry)
data_Na2Tl3Pb3
_chemical_formula_sum 'Na2 Tl3 Pb3'
_symmetry_space_group_name_H-M 'P m m m'
_symmetry_Int_Tables_number 47
_cell_length_a 4.4282
_cell_length_b 5.1092
_cell_length_c 10.4325
_cell_angle_alpha 90.00
_cell_angle_beta 90.00
_cell_angle_gamma 90.00
loop_
_symmetry_equiv_pos_as_xyz
'x,y,z'
'-x,-y,-z'
'-x,-y,z'
'x,y,-z'
'x,-y,-z'
'-x,y,z'
'-x,y,-z'
'x,-y,z'
loop_
_atom_site_label
_atom_site_type_symbol
_atom_site_fract_x
_atom_site_fract_y
_atom_site_fract_z
Na1 Na 0.0000 0.0000 0.2487
Tl1 Tl 0.5000 0.0000 0.0000
Tl2 Tl 0.5000 0.5000 0.2516
Pb1 Pb 0.0000 0.5000 0.0000
Pb2 Pb 0.0000 0.5000 0.5000
Pb3 Pb 0.5000 0.0000 0.5000
# N(E_F)	2.9	states/eV/f.u.
# E_form	-0.082	eV/atom

[2]
# Te2Rh (PBE, optimized geometry)
data_Te2Rh
_chemical_formula_sum 'Te8 Rh4'
_symmetry_space_group_name_H-M 'P a -3'
_symmetry_Int_Tables_number 205
_symmetry_space_group_name_Hall '-P 2ac 2ab 3'
_cell_length_a 6.5299
_cell_length_b 6.5299
_cell_length_c 6.5299
_cell_angle_alpha 90.00
_cell_angle_beta 90.00
_cell_angle_gamma 90.00
loop_
_atom_site_label
_atom_site_type_symbol
_atom_site_fract_x
_atom_site_fract_y
_atom_site_fract_z
Te1 Te 0.1312 0.1312 0.1312
Rh1 Rh 0.0000 0.0000 0.5000
# N(E_F)	3.3	states/eV/f.u.
# formation energy from raw total energies	-38.8	kJ per mole of atoms

Please write out number 2 again, unchanged.
# Te2Rh (PBE, optimized geometry)
data_Te2Rh
_chemical_formula_sum 'Te8 Rh4'
_symmetry_space_group_name_H-M 'P a -3'
_symmetry_Int_Tables_number 205
_symmetry_space_group_name_Hall '-P 2ac 2ab 3'
_cell_length_a 6.5299
_cell_length_b 6.5299
_cell_length_c 6.5299
_cell_angle_alpha 90.00
_cell_angle_beta 90.00
_cell_angle_gamma 90.00
loop_
_atom_site_label
_atom_site_type_symbol
_atom_site_fract_x
_atom_site_fract_y
_atom_site_fract_z
Te1 Te 0.1312 0.1312 0.1312
Rh1 Rh 0.0000 0.0000 0.5000
# N(E_F)	3.3	states/eV/f.u.
# formation energy from raw total energies	-38.8	kJ per mole of atoms

- Which formula does entry 2 have?
  Te2Rh

- Among the records above, which one has the highest N(E_F)?
  Te2Rh